Here is a relaxed ReTcRu2 crystal from Alexandria via LeMat-Bulk. Energies are from PBE-GGA.

Calculated values
Total moment = 0.0 Bohr magnetons per cell
Relative energy among the computed polymorphs = 474 meV/atom
Electronic total energy = -39.78 eV per cell
E_form = 1.6 eV/f.u.

a b c (Å): 2.682 2.682 9.047
angles (deg): 90.00 90.00 115.93
Fractional coordinates of all 4 atoms:
Re 0.000 0.000 0.000
Tc 0.000 0.000 0.500
Ru 0.500 0.500 0.250
Ru 0.500 0.500 0.750